Below is Sm2Si3Pd6 after structural relaxation, with properties calculated at the PBE-GGA level.

```
Sm2Si3Pd6
1.0
-0.276 4.202 0.844
-5.821 -1.244 4.290
6.757 -0.130 2.857
Pd Si Sm
6 3 2
direct
0.500 0.307 0.000 Pd
0.000 0.785 0.000 Pd
0.000 0.000 0.785 Pd
0.500 0.693 0.693 Pd
0.500 0.000 0.307 Pd
0.000 0.215 0.215 Pd
0.500 0.366 0.366 Si
0.500 0.634 0.000 Si
0.500 0.000 0.634 Si
0.000 0.333 0.667 Sm
0.000 0.667 0.333 Sm
```

Properties
N(E_F) in states/eV per atom: 0.765
DFT total energy in eV per atom: -5.998
Energy relative to the elements, uncorrected in eV/atom: -0.83

=====

Below is GdTlPb4 after structural relaxation, with properties calculated at the PBE-GGA level.

```
GdTlPb4
1.0
6.491 0.000 0.000
3.245 5.621 0.000
3.245 1.874 5.300
Pb Tl Gd
4 1 1
direct
0.626 0.123 0.626 Pb
0.123 0.626 0.626 Pb
0.626 0.626 0.123 Pb
0.626 0.626 0.626 Pb
0.250 0.250 0.250 Tl
0.000 0.000 0.000 Gd
```

Properties
N(E_F) in states/eV per atom: 0.852
DFT total energy in eV per atom: -5.272
E_form in eV per atom: -0.0585